VASP calculation (PBE-GGA) on crystalline UZnGa at its relaxed geometry.

The space group is F-43m (No. 216) and the conventional cell measures 6.678, 6.678 and 6.678 Å, with angles of 90.00, 90.00 and 90.00 degrees. The asymmetric unit holds U at (0.000, 0.000, 0.000), Zn at (0.250, 0.250, 0.250) and Ga at (0.250, 0.250, 0.750).

As for the total magnetization: 2.768 μB/f.u. The total DFT energy (no corrections) comes out at -54.64 eV/cell.